Compound: Y2VGa2Ru5
Source: the Alexandria database
Functional: GGA-PBE
Structure: relaxed

**Energy relative to the elements**: -317 meV per atom

```
data_Y2VGa2Ru5
_symmetry_space_group_name_H-M 'P 1'
_symmetry_Int_Tables_number 1
_cell_length_a 3.2813
_cell_length_b 10.0629
_cell_length_c 10.0629
_cell_angle_alpha 90.00
_cell_angle_beta 90.00
_cell_angle_gamma 90.00
loop_
_symmetry_equiv_pos_as_xyz
'x,y,z'
loop_
_atom_site_label
_atom_site_type_symbol
_atom_site_fract_x
_atom_site_fract_y
_atom_site_fract_z
_atom_site_occupancy
Ru1 Ru 0.5000 0.0627 0.8087 1
Ru2 Ru 0.5000 0.6913 0.4373 1
Ru3 Ru 0.5000 0.9373 0.1913 1
Ru4 Ru 0.5000 0.4373 0.3087 1
Ru5 Ru 0.5000 0.8087 0.9373 1
Ru6 Ru 0.5000 0.5627 0.6913 1
Ru7 Ru 0.5000 0.3087 0.5627 1
Ru8 Ru 0.5000 0.0000 0.5000 1
Ru9 Ru 0.5000 0.5000 0.0000 1
Ru10 Ru 0.5000 0.1913 0.0627 1
V1 V 0.0000 0.5000 0.5000 1
V2 V 0.0000 0.0000 0.0000 1
Ga1 Ga 0.0000 0.3699 0.1301 1
Ga2 Ga 0.0000 0.1301 0.6301 1
Ga3 Ga 0.0000 0.8699 0.3699 1
Ga4 Ga 0.0000 0.6301 0.8699 1
Y1 Y 0.0000 0.1704 0.3296 1
Y2 Y 0.0000 0.3296 0.8296 1
Y3 Y 0.0000 0.8296 0.6704 1
Y4 Y 0.0000 0.6704 0.1704 1
```

Compound: AlZnTe2
Source: the Alexandria database
Functional: GGA-PBE
Structure: relaxed

**Energy relative to the elements, uncorrected**: -0.9 eV/f.u.

```
data_AlZnTe2
_symmetry_space_group_name_H-M 'P 1'
_symmetry_Int_Tables_number 1
_cell_length_a 4.1234
_cell_length_b 4.1234
_cell_length_c 5.7578
_cell_angle_alpha 90.00
_cell_angle_beta 90.00
_cell_angle_gamma 90.00
loop_
_symmetry_equiv_pos_as_xyz
'x,y,z'
loop_
_atom_site_label
_atom_site_type_symbol
_atom_site_fract_x
_atom_site_fract_y
_atom_site_fract_z
_atom_site_occupancy
Te1 Te 0.5000 0.5000 0.3751 1
Te2 Te 0.0000 0.0000 0.8750 1
Al1 Al 0.5000 0.5000 0.8750 1
Zn1 Zn 0.0000 0.0000 0.3748 1
```

Compound: Y3HoTm12
Source: the Alexandria database
Functional: GGA-PBE
Structure: relaxed

**Energy relative to the elements**: 28 meV per atom

```
data_Y3HoTm12
_symmetry_space_group_name_H-M 'P 1'
_symmetry_Int_Tables_number 1
_cell_length_a 4.9566
_cell_length_b 4.9566
_cell_length_c 19.8376
_cell_angle_alpha 90.00
_cell_angle_beta 90.00
_cell_angle_gamma 90.00
loop_
_symmetry_equiv_pos_as_xyz
'x,y,z'
loop_
_atom_site_label
_atom_site_type_symbol
_atom_site_fract_x
_atom_site_fract_y
_atom_site_fract_z
_atom_site_occupancy
Tm1 Tm 0.5000 0.5000 0.7505 1
Tm2 Tm 0.5000 0.5000 0.0000 1
Tm3 Tm 0.5000 0.5000 0.2495 1
Tm4 Tm 0.0000 0.5000 0.8758 1
Tm5 Tm 0.0000 0.5000 0.3747 1
Tm6 Tm 0.5000 0.0000 0.8758 1
Tm7 Tm 0.5000 0.0000 0.1242 1
Tm8 Tm 0.0000 0.5000 0.6253 1
Tm9 Tm 0.0000 0.5000 0.1242 1
Tm10 Tm 0.5000 0.5000 0.5000 1
Tm11 Tm 0.5000 0.0000 0.6253 1
Tm12 Tm 0.5000 0.0000 0.3747 1
Y1 Y 0.0000 0.0000 0.2496 1
Y2 Y 0.0000 0.0000 0.7504 1
Y3 Y 0.0000 0.0000 0.5000 1
Ho1 Ho 0.0000 0.0000 0.0000 1
```